20
Lattice="6.207 0.000 0.000 0.000 6.292 0.000 0.000 0.000 8.893" Properties=species:S:1:pos:R:3 comment="Tl2VAgF6, relaxed, DFT GGA+U" magmom_total_mub_per_cell=4.00 spacegroup=Pmmn total_energy_ev_per_cell=-94.588 density_g_cm3=6.52 n_ef_per_ev_atom=0.000 pbc="T T T"
F 4.489 0.112 4.447
V 0.000 4.787 0.000
F 0.000 4.846 6.864
Tl 3.104 4.794 2.213
F 3.104 1.446 2.417
F 4.822 6.180 0.000
Tl 0.000 1.498 6.660
Ag 3.104 1.674 0.000
Tl 0.000 1.498 2.234
F 1.719 0.112 4.447
V 3.104 1.505 4.447
Tl 3.104 4.794 6.681
F 1.387 3.410 0.000
F 4.491 2.882 4.447
F 4.820 3.410 0.000
F 0.000 4.846 2.029
F 3.104 1.446 6.476
F 1.385 6.180 0.000
F 1.717 2.882 4.447
Ag 0.000 4.618 4.447